This record from Alexandria via LeMat-Bulk describes an optimized crystal structure of AcAgHgO3. The functional is PBE.

abc: 3.5509 6.8608 8.7063
angles: 105.11 90.00 90.00
Last column: nearest neighbours and their distance in Å.
Element x y z (fractional)
Ac: 0.2500 0.1935 0.2169  7 O 2.50-2.65
Ac: 0.7500 0.8065 0.7831  7 O 2.50-2.65
Ag: 0.2500 0.1818 0.5957  3 O 2.36-2.53
Ag: 0.7500 0.8182 0.4043  3 O 2.36-2.53
Hg: 0.2500 0.6775 0.1325  5 O 2.44-2.48
Hg: 0.7500 0.3225 0.8675  5 O 2.44-2.48
O: 0.7500 0.9062 0.0987  2 Hg 2.44, 3 Ac 2.65
O: 0.2500 0.0938 0.9013  2 Hg 2.44, 3 Ac 2.65
O: 0.2500 0.8088 0.5812  3 Ag 2.36-2.53, 2 Ac 2.50
O: 0.7500 0.1912 0.4188  3 Ag 2.36-2.53, 2 Ac 2.50
O: 0.7500 0.4454 0.1612  3 Hg 2.44-2.48, 2 Ac 2.61
O: 0.2500 0.5546 0.8388  3 Hg 2.44-2.48, 2 Ac 2.61

Calculated values
Density of states at the Fermi level in states/eV/f.u.: 3.6
SG: No. 11
Uncorrected formation energy in eV/atom: -1.3423

***

This record from Alexandria via LeMat-Bulk describes an optimized crystal structure of TbSm2Ga2Pt7. The functional is PBE.

abc: 4.0867 4.0867 14.1608
angles: 83.58 83.58 89.43
Last column: nearest neighbours and their distance in Å.
Element x y z (fractional)
Tb: 0.0000 0.0000 0.0000  12 Pt 2.88-2.97
Sm: 0.8776 0.8776 0.3561  5 Pt 3.03-3.16, 4 Ga 3.15-3.29
Sm: 0.1224 0.1224 0.6439  5 Pt 3.03-3.16, 4 Ga 3.15-3.29
Ga: 0.5981 0.5981 0.7433  5 Pt 2.46-2.50
Ga: 0.4019 0.4019 0.2567  5 Pt 2.46-2.50
Pt: 0.5000 0.5000 0.0000  4 Tb 2.88-2.90, 8 Pt 2.97
Pt: 0.3606 0.3606 0.4320  1 Ga 2.46, 1 Pt 2.71
Pt: 0.6394 0.6394 0.5680  1 Ga 2.46, 1 Pt 2.71
Pt: 0.9410 0.4412 0.1538  2 Ga 2.50
Pt: 0.4412 0.9410 0.1538  2 Ga 2.50
Pt: 0.5588 0.0590 0.8462  2 Ga 2.50
Pt: 0.0590 0.5588 0.8462  2 Ga 2.50

Calculated values
Density of states at the Fermi level in states/eV/f.u.: 3.7
SG: No. 12
E_form in eV/atom: -0.9858

***

This record from Alexandria via LeMat-Bulk describes an optimized crystal structure of Th2RhSe. The functional is PBE.

abc: 4.1031 4.1031 7.7197
angles: 74.59 74.59 60.00
Last column: nearest neighbours and their distance in Å.
Element x y z (fractional)
Rh: 0.0000 0.0000 0.0000  6 Th 2.87
Se: 0.5000 0.5000 0.5000  6 Th 3.13
Th: 0.2597 0.2597 0.2210  3 Rh 2.87, 3 Se 3.13
Th: 0.7403 0.7403 0.7790  3 Rh 2.87, 3 Se 3.13

Calculated values
Density of states at the Fermi level in states/eV/f.u.: 3.3
SG: No. 166
Polymorph energy (0 for the lowest one) in eV per atom: 0.000
Uncorrected formation energy in eV/atom: -1.2185

***

This record from Alexandria via LeMat-Bulk describes an optimized crystal structure of PrGdErIn. The functional is PBE.

abc: 5.5238 5.5238 5.5238
angles: 60.00 60.00 60.00
Last column: nearest neighbours and their distance in Å.
Element x y z (fractional)
Pr: 0.0000 0.0000 0.0000  4 In 3.38, 4 Er 3.38
Gd: 0.5000 0.5000 0.5000  4 In 3.38, 4 Er 3.38
In: 0.2500 0.2500 0.2500  4 Gd 3.38, 4 Pr 3.38
Er: 0.7500 0.7500 0.7500  4 Pr 3.38, 4 Gd 3.38

Calculated values
Density of states at the Fermi level in states/eV/f.u.: 4.8
SG: No. 216
E_form in eV/atom: -0.1653

***

This record from Alexandria via LeMat-Bulk describes an optimized crystal structure of HfZr2C. The functional is PBE.

abc: 3.2875 3.2875 8.2031
angles: 78.44 78.44 60.00
Last column: nearest neighbours and their distance in Å.
Element x y z (fractional)
C: 0.0000 0.0000 0.0000  6 Zr 2.31
Hf: 0.5000 0.5000 0.5000  6 Zr 3.28, 6 Hf 3.29
Zr: 0.7218 0.7218 0.8345  3 C 2.31
Zr: 0.2782 0.2782 0.1655  3 C 2.31

Calculated values
Density of states at the Fermi level in states/eV/f.u.: 4.1
SG: No. 166
E_form in eV/atom: -0.3784

***

This record from Alexandria via LeMat-Bulk describes an optimized crystal structure of Y2Er7Sc3. The functional is PBE.

abc: 3.5094 5.6402 18.3866
angles: 98.82 90.00 90.00
Last column: nearest neighbours and their distance in Å.
Element x y z (fractional)
Y: 0.0000 0.8250 0.6500  5 Er 3.41-3.56, 4 Sc 3.46, 2 Y 3.51
Y: 0.0000 0.1750 0.3500  5 Er 3.41-3.56, 4 Sc 3.46, 2 Y 3.51
Er: 0.0000 0.4291 0.8581  4 Sc 3.12-3.32, 4 Er 3.39
Er: 0.0000 0.7280 0.4559  4 Er 3.24-3.51, 2 Sc 3.37, 3 Y 3.41-3.53
Er: 0.0000 0.0000 0.0000  4 Sc 3.32, 6 Er 3.51-3.71
Er: 0.0000 0.5709 0.1419  4 Sc 3.12-3.32, 4 Er 3.39
Er: 0.5000 0.0898 0.1797  8 Er 3.39-3.71, 2 Sc 3.54, 2 Y 3.56
Er: 0.5000 0.9102 0.8203  8 Er 3.39-3.71, 2 Sc 3.54, 2 Y 3.56
Er: 0.0000 0.2720 0.5441  4 Er 3.24-3.51, 2 Sc 3.37, 3 Y 3.41-3.53
Sc: 0.5000 0.5000 0.0000  8 Er 3.12-3.32
Sc: 0.5000 0.6486 0.2973  6 Er 3.32-3.54, 4 Y 3.46, 2 Sc 3.51
Sc: 0.5000 0.3514 0.7027  6 Er 3.32-3.54, 4 Y 3.46, 2 Sc 3.51

Calculated values
Density of states at the Fermi level in states/eV/f.u.: 21.5
SG: No. 65
E_form in eV/atom: 0.1494

***

This record from Alexandria via LeMat-Bulk describes an optimized crystal structure of Y6Te3C2S. The functional is PBE.

abc: 6.8082 6.8082 7.3474
angles: 98.87 98.87 120.00
Last column: nearest neighbours and their distance in Å.
Element x y z (fractional)
Y: 0.9347 0.5762 0.8039  2 C 2.58, 1 S 2.80
Y: 0.7061 0.7061 0.1919  2 C 2.57, 1 S 2.78
Y: 0.0653 0.4238 0.1961  2 C 2.58, 1 S 2.80
Y: 0.5762 0.9347 0.8039  2 C 2.58, 1 S 2.80
Y: 0.2939 0.2939 0.8081  2 C 2.57, 1 S 2.78
Y: 0.4238 0.0653 0.1961  2 C 2.58, 1 S 2.80
Te: 0.1597 0.8403 0.5000  6 Y 3.04-3.18
Te: 0.8403 0.1597 0.5000  6 Y 3.04-3.18
Te: 0.5000 0.5000 0.5000  6 Y 3.01-3.18
C: 0.3327 0.6673 0.0000  6 Y 2.57-2.58
C: 0.6673 0.3327 0.0000  6 Y 2.57-2.58
S: 0.0000 0.0000 0.0000  6 Y 2.78-2.80

Calculated values
Density of states at the Fermi level in states/eV/f.u.: 4.0
SG: No. 12
Uncorrected formation energy in eV/atom: -1.1845